Y4SiPt3 | GGA-PBE | optimized geometry

Computed properties:
- E_form (uncorrected) (meV per atom) = -1138
- space-group type = Pmm2 (25)
- V (Å³/cell) = 180.18

Cell lengths 3.9296, 4.2719, 10.7335 Å; angles 90.00, 90.00, 90.00 degrees
Atoms (fractional coordinates):
Y: 0.0000 0.0000 0.0000
Y: 0.0000 0.5000 0.2810
Y: 0.5000 0.0000 0.5006
Y: 0.5000 0.5000 0.7844
Si: 0.5000 0.0000 0.2168
Pt: 0.0000 0.0000 0.7275
Pt: 0.0000 0.5000 0.5519
Pt: 0.5000 0.5000 0.0658

---

NaBe2Ni2 | GGA-PBE | optimized geometry

Computed properties:
- energy above the lowest structure with this stoichiometry (meV per atom) = 218.4
- space-group type = I4/mmm (139)
- V (Å³/cell) = 64.10
- ΔE_f (eV per atom) = 0.221

Cell lengths 5.4049, 5.4049, 5.4049 Å; angles 140.21, 140.21, 57.53 degrees
Atoms (fractional coordinates):
Na: 0.0000 0.0000 0.0000
Be: 0.2500 0.7500 0.5000
Be: 0.7500 0.2500 0.5000
Ni: 0.3734 0.3734 0.0000
Ni: 0.6266 0.6266 0.0000

---

TmScSe | GGA-PBE | optimized geometry

Computed properties:
- energy above the lowest structure with this stoichiometry (meV per atom) = 206.5
- E_form (uncorrected) (meV per atom) = -906
- space-group type = I4mm (107)
- V (Å³/cell) = 69.23

Cell lengths 6.1364, 6.1364, 6.1364 Å; angles 146.74, 146.74, 47.75 degrees
Atoms (fractional coordinates):
Tm: 0.0000 0.0000 0.0000
Sc: 0.3031 0.3031 0.0000
Se: 0.6719 0.6719 0.0000

---

MgZrCo2 | GGA-PBE | optimized geometry

Computed properties:
- space-group type = P4mm (99)
- V (Å³/cell) = 64.67
- ΔE_f (eV per atom) = 0.036

Cell lengths 2.9974, 2.9974, 7.1979 Å; angles 90.00, 90.00, 90.00 degrees
Atoms (fractional coordinates):
Mg: 0.0000 0.0000 0.0000
Zr: 0.5000 0.5000 0.3528
Co: 0.0000 0.0000 0.6047
Co: 0.5000 0.5000 0.7583

---

Pm3AlAg2 | GGA-PBE | optimized geometry

Computed properties:
- space-group type = P4/mmm (123)
- V (Å³/cell) = 154.43
- ΔE_f (eV per atom) = -0.309

Cell lengths 3.6982, 3.6982, 11.2916 Å; angles 90.00, 90.00, 90.00 degrees
Atoms (fractional coordinates):
Pm: 0.0000 0.0000 0.0000
Pm: 0.0000 0.0000 0.3369
Pm: 0.0000 0.0000 0.6631
Al: 0.5000 0.5000 0.5000
Ag: 0.5000 0.5000 0.1704
Ag: 0.5000 0.5000 0.8296

---

SrNi2P | GGA-PBE | optimized geometry

Computed properties:
- space-group type = Cm (8)
- V (Å³/cell) = 72.14
- ΔE_f (eV per atom) = -0.550

Cell lengths 3.9806, 3.9806, 5.7377 Å; angles 110.38, 110.38, 60.07 degrees
Atoms (fractional coordinates):
Sr: 0.0000 0.0000 0.0000
Ni: 0.5058 0.5058 0.5183
Ni: 0.8086 0.8086 0.4261
P: 0.1932 0.1932 0.5803

---

ZnGaIO2 | GGA-PBE | optimized geometry

Computed properties:
- energy above the lowest structure with this stoichiometry (meV per atom) = 375.2
- E_form (uncorrected) (meV per atom) = -64
- space-group type = P4/mmm (123)
- V (Å³/cell) = 98.38

Cell lengths 4.0154, 4.0154, 6.1016 Å; angles 90.00, 90.00, 90.00 degrees
Atoms (fractional coordinates):
Zn: 0.0000 0.0000 0.0000
Ga: 0.5000 0.5000 0.5000
I: 0.0000 0.0000 0.5000
O: 0.0000 0.5000 0.0000
O: 0.5000 0.0000 0.0000

---

K4Rb2AlPb2 | GGA-PBE | optimized geometry

Computed properties:
- space-group type = C2/m (12)
- V (Å³/cell) = 420.62
- ΔE_f (eV per atom) = -0.030

Cell lengths 8.8340, 8.8340, 6.5525 Å; angles 103.27, 103.27, 58.49 degrees
Atoms (fractional coordinates):
K: 0.0968 0.6483 0.8031
K: 0.3517 0.9032 0.1969
K: 0.6483 0.0968 0.8031
K: 0.9032 0.3517 0.1969
Rb: 0.3609 0.3609 0.2886
Rb: 0.6391 0.6391 0.7114
Al: 0.0000 0.0000 0.5000
Pb: 0.1727 0.1727 0.7282
Pb: 0.8273 0.8273 0.2718